## V2TcRh9 (GGA-PBE)

Data for a geometry-optimized V2TcRh9 structure.

Results
- formation energy from the elements (meV per atom) = -263
- Fermi-level density of states (states/eV/f.u.) = 9.5
- uncorrected energy (eV per atom) = -8.16
- symmetry = P4/mmm, No. 123

Lattice parameters (Å, degrees): 3.8215 3.8215 11.4750 90.00 90.00 90.00
Element x y z (fractional)
Rh1 0.5000 0.0000 0.5000
Rh2 0.5000 0.0000 0.8323
Rh3 0.0000 0.5000 0.1677
Rh4 0.5000 0.5000 0.0000
Rh5 0.5000 0.5000 0.6667
Rh6 0.5000 0.0000 0.1677
Rh7 0.0000 0.5000 0.8323
Rh8 0.5000 0.5000 0.3333
Rh9 0.0000 0.5000 0.5000
V1 0.0000 0.0000 0.3371
V2 0.0000 0.0000 0.6629
Tc1 0.0000 0.0000 0.0000